Compound: HoEr3Tm7
Source: Alexandria
Functional: GGA-PBE
Structure: optimized geometry

```
HoEr3Tm7
1.0
6.839 0.000 0.000
0.000 5.422 0.000
-3.379 0.000 9.182
Ho Er Tm
1 3 7
Direct
0.000 0.000 0.000
0.279 0.500 0.499
0.500 0.000 0.000
0.721 0.500 0.501
0.000 0.000 0.500
0.146 0.500 0.791
0.321 0.500 0.141
0.418 0.000 0.331
0.582 0.000 0.669
0.679 0.500 0.859
0.854 0.500 0.209
```

Summary:
calculated volume: 340.4 Å³/cell
E_form: 163 meV per atom
ρ: 9.020 Mg/m³